The following is a DFT calculation (PBE-GGA) of a relaxed Sm3AuC crystal.

Volume, Å³ per cell: 123.3
Electronic total energy, eV per atom: -5.61

a b c (Å): 4.9779 4.9779 4.9779
angles (deg): 90.00 90.00 90.00
Fractional coordinates of all 5 atoms:
C  0.0000  0.0000  0.0000
Au  0.5000  0.5000  0.5000
Sm  0.0000  0.5000  0.0000
Sm  0.0000  0.0000  0.5000
Sm  0.5000  0.0000  0.0000